#one
Compound: TmMg3Tl3
Source: Alexandria
Functional: PBE
Structure: relaxed

Calculated values
**SG**: Pm-3n

abc: 7.789 7.789 7.789
angles: 90.00 90.00 90.00
Element x y z (fractional)
Tm1 0.000 0.000 0.000
Tm2 0.500 0.500 0.500
Mg1 0.000 0.250 0.500
Mg2 0.000 0.750 0.500
Mg3 0.250 0.500 0.000
Mg4 0.500 0.000 0.250
Mg5 0.500 0.000 0.750
Mg6 0.750 0.500 0.000
Tl1 0.000 0.500 0.250
Tl2 0.000 0.500 0.750
Tl3 0.250 0.000 0.500
Tl4 0.500 0.250 0.000
Tl5 0.500 0.750 0.000
Tl6 0.750 0.000 0.500

---

#two
Compound: TmMg3Tl3
Source: Alexandria
Functional: PBE
Structure: relaxed

Calculated values
**SG**: R-3

abc: 7.937 7.937 7.937
angles: 65.48 65.48 65.48
Element x y z (fractional)
Tm1 0.167 0.167 0.167
Tm2 0.833 0.833 0.833
Mg1 0.047 0.389 0.724
Mg2 0.276 0.953 0.611
Mg3 0.389 0.724 0.047
Mg4 0.611 0.276 0.953
Mg5 0.724 0.047 0.389
Mg6 0.953 0.611 0.276
Tl1 0.121 0.758 0.438
Tl2 0.242 0.562 0.879
Tl3 0.438 0.121 0.758
Tl4 0.562 0.879 0.242
Tl5 0.758 0.438 0.121
Tl6 0.879 0.242 0.562

---

Relative energies with respect to the most stable structure, expressed in kJ/mol of atoms: #one 49.6; #two 0.0.

---

#one
Compound: Tm3MgTl2
Source: Alexandria
Functional: PBE
Structure: relaxed

Calculated values
**SG**: C2/c

abc: 9.259 9.259 6.357
angles: 110.03 110.03 40.15
Element x y z (fractional)
Tm1 0.000 0.000 0.250
Tm2 0.000 0.000 0.750
Tm3 0.095 0.554 0.825
Tm4 0.446 0.905 0.675
Tm5 0.554 0.095 0.325
Tm6 0.905 0.446 0.175
Mg1 0.500 0.500 0.250
Mg2 0.500 0.500 0.750
Tl1 0.108 0.622 0.365
Tl2 0.378 0.892 0.135
Tl3 0.622 0.108 0.865
Tl4 0.892 0.378 0.635

---

#two
Compound: Tm3MgTl2
Source: Alexandria
Functional: PBE
Structure: relaxed

Calculated values
**SG**: Cmmm

abc: 8.039 8.039 4.098
angles: 90.00 90.00 143.73
Element x y z (fractional)
Tm1 0.000 0.000 0.000
Tm2 0.330 0.670 0.000
Tm3 0.670 0.330 0.000
Mg1 0.500 0.500 0.500
Tl1 0.156 0.844 0.500
Tl2 0.844 0.156 0.500

---

Relative energies with respect to the most stable structure, expressed in kJ/mol of atoms: #one 5.5; #two 0.0.